First-principles (PBE with a Hubbard U) data for an optimized crystal structure of CsOs2WO8, as listed in Alexandria via LeMat-Bulk.

The structure in POSCAR format:
```
CsOs2WO8
1.0
5.662 0.000 0.000
-2.831 4.904 0.000
0.000 0.000 8.786
Cs Os W O
1 2 1 8
Cartesian
0.000 0.000 0.000 Cs
0.000 3.269 6.269 Os
2.831 1.635 2.517 Os
0.000 0.000 4.393 W
-0.439 1.608 5.635 O
-1.219 4.480 5.635 O
1.174 1.184 3.151 O
0.000 3.269 8.042 O
2.831 1.635 0.744 O
1.658 3.720 5.635 O
4.050 0.424 3.151 O
3.270 3.295 3.151 O
```

Properties
Spin magnetization (μB per formula unit): 1.00
Total DFT energy (no corrections) (eV per atom): -7.017
V (A^3/atom): 20.3